Compound: MnZn7Ni4
Source: Alexandria
Functional: PBE
Structure: relaxed

Structure (POSCAR):
```
MnZn7Ni4
1.0
4.599 0.000 0.000
0.062 5.228 0.000
2.241 1.384 6.422
Mn Zn Ni
1 7 4
Cartesian
0.000 0.000 0.000
0.031 2.614 0.000
1.633 5.253 2.216
2.985 2.689 4.199
2.325 1.327 0.056
4.577 5.285 6.366
3.917 3.923 2.224
5.269 1.359 4.206
1.544 2.657 2.094
3.041 5.332 4.315
3.861 1.280 2.108
5.359 3.954 4.328
```

Output
- Calculated volume: 12.87 Å³/atom
- E_form: -0.10 eV/atom
- Energy above the most stable polymorph in this dataset: 0 meV/atom